Record 1
DFT (GGA-PBEsol) results for a relaxed Li3PO4 crystal.

a = 6.082 Å, b = 5.226 Å, c = 4.834 Å
α = 90.00°, β = 90.00°, γ = 90.00°
Atoms (fractional coordinates):
Li 0.000 0.157 0.000
Li 0.247 0.328 0.499
Li 0.253 0.672 0.999
Li 0.500 0.843 0.500
Li 0.747 0.672 0.999
Li 0.753 0.328 0.499
P 0.000 0.825 0.491
P 0.500 0.175 0.991
O 0.000 0.107 0.594
O 0.000 0.820 0.170
O 0.209 0.686 0.598
O 0.291 0.314 0.098
O 0.500 0.180 0.670
O 0.500 0.893 0.094
O 0.709 0.314 0.098
O 0.791 0.686 0.598

Properties
Excess energy over the best structure of this formula in the dataset, meV/atom: 0
VASP energy, eV/atom: -6.514
DOS at the Fermi energy, states/eV/f.u.: 0.00



Record 2
DFT (GGA-PBEsol) results for a relaxed LiPO3 crystal.

a = 5.340 Å, b = 17.031 Å, c = 8.826 Å
α = 90.00°, β = 117.02°, γ = 90.00°
Atoms (fractional coordinates):
Li 0.072 0.021 0.371
Li 0.072 0.479 0.871
Li 0.092 0.691 0.278
Li 0.092 0.809 0.778
Li 0.177 0.656 0.941
Li 0.177 0.844 0.441
Li 0.823 0.156 0.559
Li 0.823 0.344 0.059
Li 0.908 0.191 0.222
Li 0.908 0.309 0.722
Li 0.928 0.521 0.129
Li 0.928 0.979 0.629
P 0.386 0.191 0.907
P 0.386 0.309 0.407
P 0.387 0.100 0.192
P 0.387 0.400 0.692
P 0.498 0.063 0.721
P 0.498 0.437 0.221
P 0.502 0.563 0.779
P 0.502 0.937 0.279
P 0.613 0.600 0.308
P 0.613 0.900 0.808
P 0.614 0.691 0.593
P 0.614 0.809 0.093
O 0.135 0.218 0.751
O 0.135 0.282 0.251
O 0.161 0.104 0.248
O 0.161 0.396 0.748
O 0.187 0.059 0.605
O 0.187 0.441 0.105
O 0.263 0.134 0.003
O 0.263 0.366 0.503
O 0.305 0.566 0.857
O 0.305 0.934 0.357
O 0.325 0.632 0.196
O 0.325 0.868 0.696
O 0.407 0.747 0.469
O 0.407 0.753 0.969
O 0.419 0.009 0.148
O 0.419 0.491 0.648
O 0.428 0.633 0.646
O 0.428 0.867 0.146
O 0.572 0.133 0.854
O 0.572 0.367 0.354
O 0.581 0.509 0.352
O 0.581 0.991 0.852
O 0.593 0.247 0.031
O 0.593 0.253 0.531
O 0.675 0.132 0.304
O 0.675 0.368 0.804
O 0.695 0.066 0.643
O 0.695 0.434 0.143
O 0.737 0.634 0.497
O 0.737 0.866 0.997
O 0.813 0.559 0.895
O 0.813 0.941 0.395
O 0.839 0.604 0.252
O 0.839 0.896 0.752
O 0.865 0.718 0.749
O 0.865 0.782 0.249

Properties
VASP energy, eV/atom: -7.001
DOS at the Fermi energy, states/eV/f.u.: 0.00



Record 3
DFT (GGA-PBEsol) results for a relaxed Li2PO crystal.

a = 5.657 Å, b = 5.657 Å, c = 5.657 Å
α = 90.00°, β = 90.00°, γ = 90.00°
Atoms (fractional coordinates):
Li 0.250 0.250 0.250
Li 0.250 0.250 0.750
Li 0.250 0.750 0.250
Li 0.250 0.750 0.750
Li 0.750 0.250 0.250
Li 0.750 0.250 0.750
Li 0.750 0.750 0.250
Li 0.750 0.750 0.750
P 0.000 0.000 0.000
P 0.000 0.500 0.500
P 0.500 0.000 0.500
P 0.500 0.500 0.000
O 0.000 0.000 0.500
O 0.000 0.500 0.000
O 0.500 0.000 0.000
O 0.500 0.500 0.500

Properties
VASP energy, eV/atom: -3.974
DOS at the Fermi energy, states/eV/f.u.: 2.53



no.,total moment (μB per formula unit),volume (Å³/cell)
1,0.00,153.6
2,0.00,715.2
3,0.00,181.0